A) Entry from Alexandria via LeMat-Bulk: an optimized crystal structure of LaEr2Cu (GGA-PBE).

Results
The space group is R3m (160). Its crystal system is trigonal. The magnetic moment is 0.00 μB per cell.

abc: 3.7027 3.7027 9.9487
angles: 79.28 79.28 60.00
With the nearest neighbours (Å) after each atom.
Positions (direct):
Er: 0.0631 0.0631 0.8108  3 Cu 2.84
La: 0.5017 0.5017 0.4949  6 Er 3.64-3.74, 6 La 3.70
Cu: 0.6657 0.6657 0.0030  6 Er 2.81-2.84
Er: 0.2695 0.2695 0.1914  3 Cu 2.81

***

B) Entry from Alexandria via LeMat-Bulk: an optimized crystal structure of LaEr2Cu (GGA-PBE).

Results
The space group is P4/mmm (123). Its crystal system is tetragonal. The magnetic moment is 0.00 μB per cell.

abc: 3.5068 3.5068 8.7965
angles: 90.00 90.00 90.00
With the nearest neighbours (Å) after each atom.
Positions (direct):
Er: 0.0000 0.0000 0.1867  4 Cu 2.97, 1 Er 3.28
Cu: 0.5000 0.5000 0.0000  8 Er 2.97
La: 0.5000 0.5000 0.5000  4 La 3.51, 8 Er 3.71
Er: 0.0000 0.0000 0.8133  4 Cu 2.97, 1 Er 3.28

***

Which one sits at the top of the stability order? B) does.

***

A) Entry from Alexandria via LeMat-Bulk: an optimized crystal structure of La2ErCu (GGA-PBE).

Results
The space group is R3m (160). Its crystal system is trigonal. The magnetic moment is 0.00 μB per cell.

abc: 3.7389 3.7389 10.2602
angles: 79.50 79.50 60.00
With the nearest neighbours (Å) after each atom.
Positions (direct):
La: 0.0705 0.0705 0.7884  3 Cu 3.01
La: 0.2630 0.2630 0.2110  3 Cu 3.04
Er: 0.4991 0.4991 0.5027  6 La 3.59-3.64, 6 Er 3.74
Cu: 0.6674 0.6674 0.9978  6 La 3.01-3.04

***

B) Entry from Alexandria via LeMat-Bulk: an optimized crystal structure of La2ErCu (GGA-PBE).

Results
The space group is R-3m (166). Its crystal system is trigonal. The magnetic moment is 0.00 μB per cell.

abc: 3.5449 3.5449 11.2517
angles: 80.94 80.94 60.00
With the nearest neighbours (Å) after each atom.
Positions (direct):
La: 0.8992 0.8992 0.3025  3 Cu 2.99, 1 Er 3.35
Cu: 0.5000 0.5000 0.5000  6 La 2.99
La: 0.1008 0.1008 0.6975  3 Cu 2.99, 1 Er 3.35
Er: 0.0000 0.0000 0.0000  2 La 3.35, 6 Er 3.54

***

C) Entry from Alexandria via LeMat-Bulk: an optimized crystal structure of La2ErCu (GGA-PBE).

Results
The space group is P4/mmm (123). Its crystal system is tetragonal. The magnetic moment is 0.01 μB per cell.

abc: 3.7089 3.7089 8.5523
angles: 90.00 90.00 90.00
With the nearest neighbours (Å) after each atom.
Positions (direct):
La: 0.0000 0.0000 0.7945  4 Cu 3.16, 1 La 3.51
Cu: 0.5000 0.5000 0.0000  8 La 3.16
La: 0.0000 0.0000 0.2055  4 Cu 3.16, 1 La 3.51
Er: 0.5000 0.5000 0.5000  8 La 3.64, 4 Er 3.71

***

Which one sits at the top of the stability order? C) does.

***

A) Entry from Alexandria via LeMat-Bulk: an optimized crystal structure of LaErCuNi (GGA-PBE).

Results
The space group is Amm2 (38). Its crystal system is orthorhombic. The magnetic moment is 0.00 μB per cell.

abc: 3.7723 4.4042 5.6682
angles: 90.00 109.44 90.00
With the nearest neighbours (Å) after each atom.
Positions (direct):
Ni: 0.4350 0.0000 0.8701  2 Cu 2.66, 2 Er 2.83
Er: 0.1321 0.0000 0.2643  2 Ni 2.83, 4 Cu 2.97
La: 0.8590 0.5000 0.7180  3 Cu 2.97-3.05, 4 Ni 3.01
Cu: 0.5738 0.5000 0.1477  2 Ni 2.66, 4 Er 2.97, 2 La 2.97

***

B) Entry from Alexandria via LeMat-Bulk: an optimized crystal structure of LaErCuNi (GGA-PBE).

Results
The space group is F-43m (216). Its crystal system is cubic. The magnetic moment is 0.00 μB per cell.

abc: 4.9532 4.9532 4.9532
angles: 60.00 60.00 60.00
With the nearest neighbours (Å) after each atom.
Positions (direct):
Er: 0.0000 0.0000 0.0000  4 Ni 3.03, 4 Cu 3.03
La: 0.5000 0.5000 0.5000  4 Ni 3.03, 4 Cu 3.03
Cu: 0.2500 0.2500 0.2500  4 La 3.03, 4 Er 3.03
Ni: 0.7500 0.7500 0.7500  4 Er 3.03, 4 La 3.03

***

Which one sits at the top of the stability order? A) does.

***

A) Entry from Alexandria via LeMat-Bulk: an optimized crystal structure of LaErCuPd (GGA-PBE).

Results
The space group is F-43m (216). Its crystal system is cubic. The magnetic moment is 0.00 μB per cell.

abc: 5.0586 5.0586 5.0586
angles: 60.00 60.00 60.00
With the nearest neighbours (Å) after each atom.
Positions (direct):
Cu: 0.2500 0.2500 0.2500  4 Er 3.10, 4 La 3.10
Pd: 0.7500 0.7500 0.7500  4 La 3.10, 4 Er 3.10
La: 0.5000 0.5000 0.5000  4 Cu 3.10, 4 Pd 3.10
Er: 0.0000 0.0000 0.0000  4 Pd 3.10, 4 Cu 3.10

***

B) Entry from Alexandria via LeMat-Bulk: an optimized crystal structure of LaErCuPd (GGA-PBE).

Results
The space group is Amm2 (38). Its crystal system is orthorhombic. The magnetic moment is 0.00 μB per cell.

abc: 3.8537 4.6075 5.6652
angles: 90.00 109.88 90.00
With the nearest neighbours (Å) after each atom.
Positions (direct):
Pd: 0.4269 0.0000 0.8538  2 Cu 2.82, 3 Er 2.94-3.11, 4 La 3.09
Er: 0.1351 0.0000 0.2702  3 Pd 2.94-3.11, 4 Cu 3.06
Cu: 0.5793 0.5000 0.1586  2 Pd 2.82, 3 La 2.98-3.04, 4 Er 3.06
La: 0.8587 0.5000 0.7174  3 Cu 2.98-3.04, 4 Pd 3.09

***

Which one sits at the top of the stability order? B) does.

***

A) Entry from Alexandria via LeMat-Bulk: an optimized crystal structure of LaErCuPt (GGA-PBE).

Results
The space group is F-43m (216). Its crystal system is cubic. The magnetic moment is 0.00 μB per cell.

abc: 5.0417 5.0417 5.0417
angles: 60.00 60.00 60.00
With the nearest neighbours (Å) after each atom.
Positions (direct):
Cu: 0.0000 0.0000 0.0000  4 La 3.09, 4 Er 3.09
Er: 0.7500 0.7500 0.7500  4 Cu 3.09, 4 Pt 3.09
La: 0.2500 0.2500 0.2500  4 Cu 3.09, 4 Pt 3.09
Pt: 0.5000 0.5000 0.5000  4 La 3.09, 4 Er 3.09

***

B) Entry from Alexandria via LeMat-Bulk: an optimized crystal structure of LaErCuPt (GGA-PBE).

Results
The space group is Amm2 (38). Its crystal system is orthorhombic. The magnetic moment is 0.00 μB per cell.

abc: 3.8541 4.5097 5.7299
angles: 90.00 109.65 90.00
With the nearest neighbours (Å) after each atom.
Positions (direct):
Pt: 0.4191 0.0000 0.8381  2 Cu 2.81, 3 La 3.00-3.07, 4 Er 3.02
La: 0.1410 0.0000 0.2820  3 Pt 3.00-3.07, 4 Cu 3.05
Er: 0.8654 0.5000 0.7308  3 Cu 2.97-3.14, 4 Pt 3.02
Cu: 0.5745 0.5000 0.1491  2 Pt 2.81, 3 Er 2.97-3.14, 4 La 3.05

***

Which one sits at the top of the stability order? B) does.

***

A) Entry from Alexandria via LeMat-Bulk: an optimized crystal structure of LaErZnCu (GGA-PBE).

Results
The space group is P4mm (99). Its crystal system is tetragonal. The magnetic moment is 0.02 μB per cell.

abc: 3.5721 3.5721 7.2911
angles: 90.00 90.00 90.00
With the nearest neighbours (Å) after each atom.
Positions (direct):
Zn: 0.0000 0.0000 0.8282  4 Er 3.04, 1 Cu 3.18, 4 La 3.26
La: 0.5000 0.5000 0.1108  4 Cu 3.26, 4 Zn 3.26, 1 Er 3.54, 4 La 3.57
Er: 0.5000 0.5000 0.5965  4 Cu 2.93, 4 Zn 3.04
Cu: 0.0000 0.0000 0.3925  4 Er 2.93, 1 Zn 3.18, 4 La 3.26

***

B) Entry from Alexandria via LeMat-Bulk: an optimized crystal structure of LaErZnCu (GGA-PBE).

Results
The space group is F-43m (216). Its crystal system is cubic. The magnetic moment is 0.00 μB per cell.

abc: 5.1050 5.1050 5.1050
angles: 60.00 60.00 60.00
With the nearest neighbours (Å) after each atom.
Positions (direct):
La: 0.5000 0.5000 0.5000  4 Cu 3.13, 4 Zn 3.13
Cu: 0.2500 0.2500 0.2500  4 Er 3.13, 4 La 3.13
Er: 0.0000 0.0000 0.0000  4 Zn 3.13, 4 Cu 3.13
Zn: 0.7500 0.7500 0.7500  4 La 3.13, 4 Er 3.13

***

Which one sits at the top of the stability order? A) does.